# Sc2AlFe2Ru5 PBE-GGA relaxed
data_Sc2AlFe2Ru5
_chemical_formula_sum 'Sc4 Al2 Fe4 Ru10'
_cell_length_a 9.502
_cell_length_b 9.502
_cell_length_c 3.370
_cell_angle_alpha 90.00
_cell_angle_beta 90.00
_cell_angle_gamma 90.00
_space_group_name_H-M_alt 'P 1'
_space_group_IT_number 1
loop_
_space_group_symop_operation_xyz
'x,y,z'
loop_
_atom_site_label
_atom_site_fract_x
_atom_site_fract_y
_atom_site_fract_z
_atom_site_occupancy
Sc1 0.171 0.329 0.000 1
Sc2 0.329 0.829 0.000 1
Sc3 0.671 0.171 0.000 1
Sc4 0.829 0.671 0.000 1
Al1 0.000 0.000 0.000 1
Al2 0.500 0.500 0.000 1
Fe1 0.131 0.631 0.000 1
Fe2 0.369 0.131 0.000 1
Fe3 0.631 0.869 0.000 1
Fe4 0.869 0.369 0.000 1
Ru1 0.000 0.500 0.500 1
Ru2 0.065 0.801 0.500 1
Ru3 0.199 0.065 0.500 1
Ru4 0.301 0.565 0.500 1
Ru5 0.435 0.301 0.500 1
Ru6 0.500 0.000 0.500 1
Ru7 0.565 0.699 0.500 1
Ru8 0.699 0.435 0.500 1
Ru9 0.801 0.935 0.500 1
Ru10 0.935 0.199 0.500 1
# Calculated formation energy, kJ/mol of atoms: -14.8
# Uncorrected energy, eV/atom: -8.12
# Crystal system: tetragonal



# AlFeSi2Ru PBE-GGA relaxed
data_AlFeSi2Ru
_chemical_formula_sum 'Al1 Fe1 Si2 Ru1'
_cell_length_a 4.504
_cell_length_b 4.504
_cell_length_c 4.590
_cell_angle_alpha 90.00
_cell_angle_beta 90.00
_cell_angle_gamma 90.00
_space_group_name_H-M_alt 'P 1'
_space_group_IT_number 1
loop_
_space_group_symop_operation_xyz
'x,y,z'
loop_
_atom_site_label
_atom_site_fract_x
_atom_site_fract_y
_atom_site_fract_z
_atom_site_occupancy
Al1 0.000 0.000 0.000 1
Fe1 0.500 0.500 0.000 1
Si1 0.000 0.500 0.500 1
Si2 0.500 0.000 0.500 1
Ru1 0.500 0.500 0.500 1
# Uncorrected energy, eV/atom: -5.64
# Formation energy from raw total energies, kJ/mol of atoms: 79.9
# Crystal system: tetragonal



# AlFeSnRu PBE-GGA relaxed
data_AlFeSnRu
_chemical_formula_sum 'Al4 Fe4 Sn4 Ru4'
_cell_length_a 6.133
_cell_length_b 6.133
_cell_length_c 6.133
_cell_angle_alpha 90.00
_cell_angle_beta 90.00
_cell_angle_gamma 90.00
_space_group_name_H-M_alt 'P 1'
_space_group_IT_number 1
loop_
_space_group_symop_operation_xyz
'x,y,z'
loop_
_atom_site_label
_atom_site_fract_x
_atom_site_fract_y
_atom_site_fract_z
_atom_site_occupancy
Al1 0.000 0.000 0.000 1
Al2 0.000 0.500 0.500 1
Al3 0.500 0.000 0.500 1
Al4 0.500 0.500 0.000 1
Fe1 0.250 0.250 0.750 1
Fe2 0.250 0.750 0.250 1
Fe3 0.750 0.250 0.250 1
Fe4 0.750 0.750 0.750 1
Sn1 0.000 0.000 0.500 1
Sn2 0.000 0.500 0.000 1
Sn3 0.500 0.000 0.000 1
Sn4 0.500 0.500 0.500 1
Ru1 0.250 0.250 0.250 1
Ru2 0.250 0.750 0.750 1
Ru3 0.750 0.250 0.750 1
Ru4 0.750 0.750 0.250 1
# Calculated formation energy, kJ/mol of atoms: -16.2
# Uncorrected energy, eV/atom: -6.54
# Crystal system: cubic



# Tb2Al6FeRu PBE-GGA relaxed
data_Tb2Al6FeRu
_chemical_formula_sum 'Tb2 Al6 Fe1 Ru1'
_cell_length_a 6.483
_cell_length_b 6.483
_cell_length_c 6.483
_cell_angle_alpha 60.00
_cell_angle_beta 60.00
_cell_angle_gamma 60.00
_space_group_name_H-M_alt 'P 1'
_space_group_IT_number 1
loop_
_space_group_symop_operation_xyz
'x,y,z'
loop_
_atom_site_label
_atom_site_fract_x
_atom_site_fract_y
_atom_site_fract_z
_atom_site_occupancy
Tb1 0.250 0.250 0.250 1
Tb2 0.750 0.750 0.750 1
Al1 0.243 0.243 0.757 1
Al2 0.243 0.757 0.243 1
Al3 0.243 0.757 0.757 1
Al4 0.757 0.243 0.243 1
Al5 0.757 0.243 0.757 1
Al6 0.757 0.757 0.243 1
Fe1 0.000 0.000 0.000 1
Ru1 0.500 0.500 0.500 1
# Calculated formation energy, kJ/mol of atoms: -33.8
# Uncorrected energy, eV/atom: -5.30
# Crystal system: cubic



# AlFeTcRu PBE-GGA relaxed
data_AlFeTcRu
_chemical_formula_sum 'Al4 Fe4 Tc4 Ru4'
_cell_length_a 5.995
_cell_length_b 5.995
_cell_length_c 5.995
_cell_angle_alpha 90.00
_cell_angle_beta 90.00
_cell_angle_gamma 90.00
_space_group_name_H-M_alt 'P 1'
_space_group_IT_number 1
loop_
_space_group_symop_operation_xyz
'x,y,z'
loop_
_atom_site_label
_atom_site_fract_x
_atom_site_fract_y
_atom_site_fract_z
_atom_site_occupancy
Al1 0.000 0.000 0.000 1
Al2 0.000 0.500 0.500 1
Al3 0.500 0.000 0.500 1
Al4 0.500 0.500 0.000 1
Fe1 0.000 0.000 0.500 1
Fe2 0.000 0.500 0.000 1
Fe3 0.500 0.000 0.000 1
Fe4 0.500 0.500 0.500 1
Tc1 0.250 0.250 0.250 1
Tc2 0.250 0.750 0.750 1
Tc3 0.750 0.250 0.750 1
Tc4 0.750 0.750 0.250 1
Ru1 0.250 0.250 0.750 1
Ru2 0.250 0.750 0.250 1
Ru3 0.750 0.250 0.250 1
Ru4 0.750 0.750 0.750 1
# Calculated formation energy, kJ/mol of atoms: -20.8
# Uncorrected energy, eV/atom: -8.18
# Crystal system: cubic



# TiAl2FeRu PBE-GGA relaxed
data_TiAl2FeRu
_chemical_formula_sum 'Ti1 Al2 Fe1 Ru1'
_cell_length_a 4.326
_cell_length_b 4.326
_cell_length_c 4.462
_cell_angle_alpha 90.00
_cell_angle_beta 90.00
_cell_angle_gamma 90.00
_space_group_name_H-M_alt 'P 1'
_space_group_IT_number 1
loop_
_space_group_symop_operation_xyz
'x,y,z'
loop_
_atom_site_label
_atom_site_fract_x
_atom_site_fract_y
_atom_site_fract_z
_atom_site_occupancy
Ti1 0.000 0.000 0.000 1
Al1 0.000 0.500 0.500 1
Al2 0.500 0.000 0.500 1
Fe1 0.500 0.500 0.500 1
Ru1 0.500 0.500 0.000 1
# Calculated formation energy, kJ/mol of atoms: 40.4
# Uncorrected energy, eV/atom: -6.21
# Crystal system: tetragonal



What is the formula in the third record?
AlFeSnRu



Look up the uncorrected energy of the fourth one.
-5.30 eV/atom



What did the sixth record say?
# TiAl2FeRu PBE-GGA relaxed
data_TiAl2FeRu
_chemical_formula_sum 'Ti1 Al2 Fe1 Ru1'
_cell_length_a 4.326
_cell_length_b 4.326
_cell_length_c 4.462
_cell_angle_alpha 90.00
_cell_angle_beta 90.00
_cell_angle_gamma 90.00
_space_group_name_H-M_alt 'P 1'
_space_group_IT_number 1
loop_
_space_group_symop_operation_xyz
'x,y,z'
loop_
_atom_site_label
_atom_site_fract_x
_atom_site_fract_y
_atom_site_fract_z
_atom_site_occupancy
Ti1 0.000 0.000 0.000 1
Al1 0.000 0.500 0.500 1
Al2 0.500 0.000 0.500 1
Fe1 0.500 0.500 0.500 1
Ru1 0.500 0.500 0.000 1
# Calculated formation energy, kJ/mol of atoms: 40.4
# Uncorrected energy, eV/atom: -6.21
# Crystal system: tetragonal



uncorrected energy of number 5 (AlFeTcRu)?
-8.18 eV/atom